No. 1
## ZrTlCu (GGA-PBE)

Data for a relaxed structure of ZrTlCu.

Geometry as extended XYZ:
```
12
Lattice="-5.359 3.059 1.365 -1.577 -1.511 -2.806 -3.101 -8.175 6.146" Properties=species:S:1:pos:R:3 pbc="T T T"
Tl -7.323 -6.411 4.190
Tl -3.819 -5.764 1.871
Tl -6.218 -0.863 2.834
Tl -2.713 -0.217 0.515
Cu -2.382 -2.768 -0.549
Cu -4.871 -5.115 4.366
Cu -7.655 -3.859 5.255
Cu -5.166 -1.513 0.339
Zr -5.222 1.543 0.978
Zr -4.814 -8.171 3.727
Zr -6.464 -3.926 2.369
Zr -3.573 -2.701 2.337
```

Calculated formation energy: 79.1 meV/atom
Magnetization: 0.0 μB per formula unit
DOS at the Fermi energy: 8.53 states/eV per cell
E: -4.924 eV/atom

---

No. 2
## SrPt3Au (GGA-PBE)

Data for a relaxed structure of SrPt3Au.

Geometry as extended XYZ:
```
5
Lattice="-1.213 5.017 0.000 -0.920 -0.222 5.074 4.932 1.193 0.946" Properties=species:S:1:pos:R:3 pbc="T T T"
Sr 0.000 0.000 0.000
Au 1.399 2.994 3.010
Pt 2.466 0.596 0.473
Pt -0.460 -0.111 2.537
Pt -0.607 2.508 0.000
```

Calculated formation energy: 1619.6 meV/atom
Magnetization: 0.0 μB per formula unit
Energy above the lowest structure with this stoichiometry: 29.105 kcal/mol of atoms
DOS at the Fermi energy: 2.76 states/eV per cell
E: -2.997 eV/atom

---

No. 3
## TiIn2N (GGA-PBE)

Data for a relaxed structure of TiIn2N.

Geometry as extended XYZ:
```
8
Lattice="-3.222 8.456 2.836 -8.413 -1.879 -3.953 -6.420 2.503 1.099" Properties=species:S:1:pos:R:3 pbc="T T T"
N -5.817 3.288 -0.558
N -10.325 1.956 -1.706
Ti -7.730 7.124 1.688
Ti 0.000 0.000 0.000
In -13.864 7.885 0.379
In -4.237 4.538 1.172
In -10.310 4.091 -0.127
In -7.699 1.646 -1.460
```

Magnetization: 0.0 μB per formula unit
DOS at the Fermi energy: 6.48 states/eV per cell
E: -5.309 eV/atom
Uncorrected formation energy: 0.116 eV/atom

---

No. 4
## HgMoCl3 (GGA-PBE)

Data for a relaxed structure of HgMoCl3.

Geometry as extended XYZ:
```
5
Lattice="-1.981 -4.348 -1.537 3.989 -0.776 -2.946 2.314 -2.384 3.762" Properties=species:S:1:pos:R:3 pbc="T T T"
Mo 0.000 0.000 0.000
Cl 1.994 -0.388 -1.473
Cl 1.157 -1.192 1.881
Cl -0.991 -2.174 -0.768
Hg 2.161 -3.754 -0.361
```

Magnetization: 3.0 μB per formula unit
Energy above the lowest structure with this stoichiometry: 6.537 kcal/mol of atoms
DOS at the Fermi energy: 3.29 states/eV per cell
E: -3.678 eV/atom
Uncorrected formation energy: -0.343 eV/atom

---

No. 5
## IrCSe2N (GGA-PBE)

Data for a relaxed structure of IrCSe2N.

Geometry as extended XYZ:
```
5
Lattice="-0.638 1.491 5.532 0.987 -5.454 1.584 2.416 0.481 0.149" Properties=species:S:1:pos:R:3 pbc="T T T"
Ir 1.382 -1.742 3.632
N 1.208 0.240 0.075
C 0.000 0.000 0.000
Se -0.319 0.745 2.766
Se 0.494 -2.727 0.792
```

Magnetization: 0.0 μB per formula unit
Energy above the lowest structure with this stoichiometry: 0.000 kcal/mol of atoms
DOS at the Fermi energy: 2.86 states/eV per cell
E: -5.594 eV/atom
Uncorrected formation energy: 1.082 eV/atom

---

No. 6
## NaScTl2Rh (GGA-PBE)

Data for a relaxed structure of NaScTl2Rh.

Geometry as extended XYZ:
```
5
Lattice="5.119 0.000 0.000 0.000 4.783 0.000 0.000 0.000 5.119" Properties=species:S:1:pos:R:3 pbc="T T T"
Sc 2.559 2.391 2.559
Rh 0.000 2.391 0.000
Tl 0.000 0.000 2.559
Tl 2.559 0.000 0.000
Na 0.000 0.000 0.000
```

Calculated formation energy: 744.9 meV/atom
Magnetization: 0.0 μB per formula unit
DOS at the Fermi energy: 5.31 states/eV per cell
E: -3.202 eV/atom

---

No. 7
## Na4HoSb3Te8 (GGA-PBE)

Data for a relaxed structure of Na4HoSb3Te8.

Geometry as extended XYZ:
```
16
Lattice="-6.301 5.537 2.915 -0.346 -4.564 7.922 7.795 3.216 -2.787" Properties=species:S:1:pos:R:3 pbc="T T T"
Na 0.747 4.377 0.064
Na 0.000 0.000 0.000
Na -3.151 2.769 1.458
Na 3.897 1.608 -1.393
Sb 3.724 -0.674 2.568
Sb -3.324 0.486 5.419
Sb 0.574 2.094 4.025
Te -1.139 2.349 6.605
Te 5.909 1.188 3.734
Te 2.286 1.840 1.446
Te 2.002 -0.424 5.131
Te -1.603 0.225 2.855
Te -0.854 4.613 2.919
Te 2.750 3.964 5.196
Te -4.761 3.000 4.316
Ho -0.173 -2.282 3.961
```

Magnetization: 0.0 μB per formula unit
E: -3.626 eV/atom
Uncorrected formation energy: -0.666 eV/atom

---

No. 8
## La8NdMg2 (GGA-PBE)

Data for a relaxed structure of La8NdMg2.

Geometry as extended XYZ:
```
11
Lattice="5.107 0.000 -1.649 -1.153 7.635 -3.572 0.184 0.844 9.302" Properties=species:S:1:pos:R:3 pbc="T T T"
La 1.656 0.939 5.127
La 4.717 2.791 5.876
La 3.576 6.739 2.343
La 2.482 7.540 -1.046
La 0.561 1.741 1.738
La 2.550 3.697 -0.836
La -0.580 5.688 -1.795
La 1.588 4.782 4.917
Nd 2.554 0.000 -0.825
Mg 0.505 5.194 1.563
Mg 3.633 3.285 2.518
```

Calculated formation energy: -2.0 meV/atom
Magnetization: 0.0 μB per formula unit
Energy above the lowest structure with this stoichiometry: 0.000 kcal/mol of atoms
DOS at the Fermi energy: 17.57 states/eV per cell
E: -4.309 eV/atom

---

- What is the magnetization in the first record?
  0.0 μB per formula unit